[1]
Here is a PBEsol-optimized structure of AlGaSn2N from Alexandria via LeMat-Bulk. Energies are from SCAN.

Geometry as POSCAR:
```
AlGaSn2N
1.0
5.1139 0.0000 0.0000
0.0000 5.1139 0.0000
0.0000 0.0000 4.6320
Al Ga Sn N
1 1 2 1
direct
0.0000 0.0000 0.0000
0.0000 0.0000 0.5000
0.0000 0.5000 0.5000
0.5000 0.0000 0.5000
0.5000 0.5000 0.0000
```

The uncorrected energy comes out at -97.410 eV/f.u. As for the crystal system: tetragonal.

***

[2]
Here is a PBEsol-optimized structure of ScFeTcOs2 from Alexandria via LeMat-Bulk. Energies are from SCAN.

Geometry as POSCAR:
```
ScFeTcOs2
1.0
4.5391 0.0000 0.0000
0.0000 4.5391 0.0000
0.0000 0.0000 4.4118
Sc Fe Tc Os
1 1 1 2
direct
0.0000 0.0000 0.0000
0.5000 0.5000 0.5000
0.0000 0.0000 0.5000
0.0000 0.5000 0.0000
0.5000 0.0000 0.0000
```

As for the crystal system: tetragonal. As for the energy of formation from the pure elements: 2314 meV per atom.

***

[3]
Here is a PBEsol-optimized structure of ZnCuPt2 from Alexandria via LeMat-Bulk. Energies are from SCAN.

Geometry as POSCAR:
```
ZnCuPt2
1.0
2.7226 0.0000 0.0000
0.0000 3.7755 0.0000
0.0000 0.0000 5.3550
Zn Cu Pt
1 1 2
direct
0.0000 0.0000 0.0000
0.5000 0.5000 0.2571
0.0000 0.0000 0.4801
0.5000 0.5000 0.7685
```

As for the crystal system: orthorhombic. As for the energy of formation from the pure elements: -309 meV per atom.

***

[4]
Here is a PBEsol-optimized structure of La3AgI from Alexandria via LeMat-Bulk. Energies are from SCAN.

Geometry as POSCAR:
```
La3AgI
1.0
5.7848 0.0000 0.0000
0.0000 5.7848 0.0000
0.0000 0.0000 5.7848
La Ag I
3 1 1
direct
0.0000 0.0000 0.5000
0.0000 0.5000 0.0000
0.5000 0.0000 0.0000
0.0000 0.0000 0.0000
0.5000 0.5000 0.5000
```

The uncorrected energy comes out at -197.640 eV/f.u. As for the crystal system: cubic.

***

[5]
Here is a PBEsol-optimized structure of In2SiAu from Alexandria via LeMat-Bulk. Energies are from SCAN.

Geometry as POSCAR:
```
In2SiAu
1.0
1.7575 1.0147 7.7729
-1.7575 1.0147 7.7729
0.0000 -2.0294 7.7729
In Si Au
2 1 1
direct
0.2499 0.2499 0.2499
0.7501 0.7501 0.7501
0.0000 0.0000 0.0000
0.5000 0.5000 0.5000
```

The uncorrected energy comes out at -145.328 eV/f.u. As for the crystal system: trigonal.

***

[6]
Here is a PBEsol-optimized structure of MnGaOs2N from Alexandria via LeMat-Bulk. Energies are from SCAN.

Geometry as POSCAR:
```
MnGaOs2N
1.0
4.4723 0.0000 0.0000
0.0000 4.4723 0.0000
0.0000 0.0000 4.4706
Mn Ga Os N
1 1 2 1
direct
0.0000 0.0000 0.0000
0.0000 0.0000 0.5000
0.0000 0.5000 0.5000
0.5000 0.0000 0.5000
0.5000 0.5000 0.0000
```

The uncorrected energy comes out at -174.587 eV/f.u. As for the crystal system: tetragonal.

***

[7]
Here is a PBEsol-optimized structure of LaYP from Alexandria via LeMat-Bulk. Energies are from SCAN.

Geometry as POSCAR:
```
LaYP
1.0
0.0000 3.3303 3.3303
3.3303 0.0000 3.3303
3.3303 3.3303 0.0000
La Y P
1 1 1
direct
0.0000 0.0000 0.0000
0.2500 0.2500 0.2500
0.5000 0.5000 0.5000
```

The offset from the most stable computed form is 1101.6 meV per atom. As for the crystal system: cubic. As for the energy of formation from the pure elements: -15 meV per atom.

***

[8]
Here is a PBEsol-optimized structure of Ca2HgC from Alexandria via LeMat-Bulk. Energies are from SCAN.

Geometry as POSCAR:
```
Ca2HgC
1.0
-3.7018 3.7018 3.4993
3.7018 -3.7018 3.4993
3.7018 3.7018 -3.4993
Ca Hg C
4 2 2
direct
0.0382 0.1250 0.4132
0.3750 0.9618 0.0868
0.7118 0.6250 0.5868
0.8750 0.2882 0.9132
0.2500 0.7500 0.5000
0.5000 0.5000 0.0000
0.0000 0.0000 0.0000
0.7500 0.2500 0.5000
```

As for the crystal system: tetragonal. As for the energy of formation from the pure elements: 264 meV per atom.

***

[9]
Here is a PBEsol-optimized structure of VF5 from Alexandria via LeMat-Bulk. Energies are from SCAN.

Geometry as POSCAR:
```
VF5
1.0
4.3893 -3.0893 0.0000
4.3893 3.0893 0.0000
-1.7694 0.0000 5.8389
V F
2 10
direct
0.0972 0.9028 0.7500
0.9028 0.0972 0.2500
0.1471 0.2606 0.3352
0.1677 0.8306 0.0583
0.1694 0.8323 0.4417
0.2606 0.1471 0.8352
0.3758 0.6242 0.7500
0.6242 0.3758 0.2500
0.7394 0.8529 0.1648
0.8306 0.1677 0.5583
0.8323 0.1694 0.9417
0.8529 0.7394 0.6648
```

The uncorrected energy comes out at -51.765 eV/f.u. As for the crystal system: monoclinic.

***

[10]
Here is a PBEsol-optimized structure of Ta3FeS from Alexandria via LeMat-Bulk. Energies are from SCAN.

Geometry as POSCAR:
```
Ta3FeS
1.0
4.5324 0.0000 0.0000
0.0000 4.5324 0.0000
0.0000 0.0000 4.5324
Ta Fe S
3 1 1
direct
0.0000 0.0000 0.5000
0.0000 0.5000 0.0000
0.5000 0.0000 0.0000
0.0000 0.0000 0.0000
0.5000 0.5000 0.5000
```

The uncorrected energy comes out at -222.568 eV/f.u. As for the crystal system: cubic.

***

[11]
Here is a PBEsol-optimized structure of CuIr3Rh from Alexandria via LeMat-Bulk. Energies are from SCAN.

Geometry as POSCAR:
```
CuIr3Rh
1.0
4.3523 0.0000 0.0000
0.0000 4.3523 0.0000
0.0000 0.0000 4.3523
Cu Ir Rh
1 3 1
direct
0.0000 0.0000 0.0000
0.0000 0.0000 0.5000
0.0000 0.5000 0.0000
0.5000 0.0000 0.0000
0.5000 0.5000 0.5000
```

As for the crystal system: cubic. As for the energy of formation from the pure elements: 1895 meV per atom.

***

[12]
Here is a PBEsol-optimized structure of TaIn2Os from Alexandria via LeMat-Bulk. Energies are from SCAN.

Geometry as POSCAR:
```
TaIn2Os
1.0
0.0000 3.2937 3.2937
3.2937 0.0000 3.2937
3.2937 3.2937 0.0000
Ta In Os
1 2 1
direct
0.0000 0.0000 0.0000
0.2500 0.2500 0.2500
0.5000 0.5000 0.5000
0.7500 0.7500 0.7500
```

The offset from the most stable computed form is 336.6 meV per atom. As for the crystal system: cubic. As for the energy of formation from the pure elements: 389 meV per atom.

***

[13]
Here is a PBEsol-optimized structure of HfSF2 from Alexandria via LeMat-Bulk. Energies are from SCAN.

Geometry as POSCAR:
```
HfSF2
1.0
0.0000 2.8787 2.8787
2.8787 0.0000 2.8787
2.8787 2.8787 0.0000
Hf S F
1 1 2
direct
0.0000 0.0000 0.0000
0.5000 0.5000 0.5000
0.2500 0.2500 0.2500
0.7500 0.7500 0.7500
```

The uncorrected energy comes out at -86.855 eV/f.u. As for the crystal system: cubic.

***

[14]
Here is a PBEsol-optimized structure of TlHg2Au from Alexandria via LeMat-Bulk. Energies are from SCAN.

Geometry as POSCAR:
```
TlHg2Au
1.0
4.5637 -1.8596 0.0000
4.5637 1.8596 0.0000
-1.6042 0.0000 5.4663
Tl Hg Au
1 2 1
direct
0.0000 0.0000 0.0000
0.2388 0.2388 0.7133
0.7612 0.7612 0.2867
0.5000 0.5000 0.5000
```

The offset from the most stable computed form is 17.6 meV per atom. As for the crystal system: monoclinic. As for the energy of formation from the pure elements: 29 meV per atom.

***

[15]
Here is a PBEsol-optimized structure of Ca3Tc from Alexandria via LeMat-Bulk. Energies are from SCAN.

Geometry as POSCAR:
```
Ca3Tc
1.0
4.7017 0.0000 0.0000
0.0000 4.7017 0.0000
0.0000 0.0000 4.7017
Ca Tc
3 1
direct
0.0000 0.0000 0.5000
0.0000 0.5000 0.0000
0.5000 0.0000 0.0000
0.5000 0.5000 0.5000
```

As for the crystal system: cubic. As for the energy of formation from the pure elements: 663 meV per atom.

***

[16]
Here is a PBEsol-optimized structure of MgCd2Ag from Alexandria via LeMat-Bulk. Energies are from SCAN.

Geometry as POSCAR:
```
MgCd2Ag
1.0
1.5485 0.8941 9.4744
-1.5485 0.8941 9.4744
0.0000 -1.7881 9.4744
Mg Cd Ag
1 2 1
direct
0.0000 0.0000 0.0000
0.2472 0.2472 0.2472
0.7528 0.7528 0.7528
0.5000 0.5000 0.5000
```

The offset from the most stable computed form is 81.0 meV per atom. As for the crystal system: trigonal. As for the energy of formation from the pure elements: -47 meV per atom.

***

[17]
Here is a PBEsol-optimized structure of LiIn2Rh from Alexandria via LeMat-Bulk. Energies are from SCAN.

Geometry as POSCAR:
```
LiIn2Rh
1.0
-1.9514 1.9514 4.3993
1.9514 -1.9514 4.3993
1.9514 1.9514 -4.3993
Li In Rh
1 2 1
direct
0.0000 0.0000 0.0000
0.2500 0.7500 0.5000
0.5000 0.5000 0.0000
0.7500 0.2500 0.5000
```

The offset from the most stable computed form is 112.4 meV per atom. As for the crystal system: tetragonal. As for the energy of formation from the pure elements: -377 meV per atom.

***

[18]
Here is a PBEsol-optimized structure of ZrCdHg2 from Alexandria via LeMat-Bulk. Energies are from SCAN.

Geometry as POSCAR:
```
ZrCdHg2
1.0
0.0000 3.4466 3.4466
3.4466 0.0000 3.4466
3.4466 3.4466 0.0000
Zr Cd Hg
1 1 2
direct
0.0000 0.0000 0.0000
0.2500 0.2500 0.2500
0.5000 0.5000 0.5000
0.7500 0.7500 0.7500
```

As for the crystal system: cubic. As for the energy of formation from the pure elements: 29 meV per atom.

***

[19]
Here is a PBEsol-optimized structure of Ca2TaTe from Alexandria via LeMat-Bulk. Energies are from SCAN.

Geometry as POSCAR:
```
Ca2TaTe
1.0
3.5908 0.0000 0.0000
0.0000 3.5908 0.0000
0.0000 0.0000 8.5821
Ca Ta Te
2 1 1
direct
0.0000 0.0000 0.0000
0.5000 0.5000 0.3628
0.0000 0.0000 0.6097
0.5000 0.5000 0.7501
```

The uncorrected energy comes out at -123.237 eV/f.u. As for the crystal system: tetragonal.

***

[20]
Here is a PBEsol-optimized structure of K2AgH2 from Alexandria via LeMat-Bulk. Energies are from SCAN.

Geometry as POSCAR:
```
K2AgH2
1.0
-2.7407 2.7407 4.4394
2.7407 -2.7407 4.4394
2.7407 2.7407 -4.4394
K Ag H
2 1 2
direct
0.2500 0.7500 0.5000
0.7500 0.2500 0.5000
0.0000 0.0000 0.0000
0.1886 0.1886 0.0000
0.8114 0.8114 0.0000
```

The offset from the most stable computed form is 0.0 meV per atom. As for the crystal system: tetragonal.

***

[21]
Here is a PBEsol-optimized structure of YRu2Se from Alexandria via LeMat-Bulk. Energies are from SCAN.

Geometry as POSCAR:
```
YRu2Se
1.0
3.0692 0.0000 0.0000
0.0000 3.0692 0.0000
0.0000 0.0000 7.1545
Y Ru Se
1 2 1
direct
0.0000 0.0000 0.0000
0.0000 0.0000 0.5068
0.5000 0.5000 0.7170
0.5000 0.5000 0.2854
```

The uncorrected energy comes out at -117.942 eV/f.u. As for the crystal system: tetragonal.

***

[22]
Here is a PBEsol-optimized structure of IrRu2W from Alexandria via LeMat-Bulk. Energies are from SCAN.

Geometry as POSCAR:
```
IrRu2W
1.0
2.7137 0.0000 0.0000
0.0000 2.7137 0.0000
0.0000 0.0000 7.6639
Ir Ru W
1 2 1
direct
0.0000 0.0000 0.0000
0.5000 0.5000 0.2461
0.5000 0.5000 0.7539
0.0000 0.0000 0.5000
```

The offset from the most stable computed form is 244.6 meV per atom. As for the crystal system: tetragonal. As for the energy of formation from the pure elements: 28 meV per atom.

***

[23]
Here is a PBEsol-optimized structure of Al3FeS from Alexandria via LeMat-Bulk. Energies are from SCAN.

Geometry as POSCAR:
```
Al3FeS
1.0
4.4654 0.0000 0.0000
0.0000 4.4654 0.0000
0.0000 0.0000 4.4654
Al Fe S
3 1 1
direct
0.0000 0.0000 0.5000
0.0000 0.5000 0.0000
0.5000 0.0000 0.0000
0.0000 0.0000 0.0000
0.5000 0.5000 0.5000
```

The uncorrected energy comes out at -49.151 eV/f.u. As for the crystal system: cubic.

***

[24]
Here is a PBEsol-optimized structure of Rb2NaYF6 from Alexandria via LeMat-Bulk. Energies are from SCAN.

Geometry as POSCAR:
```
Rb2NaYF6
1.0
0.0000 4.4090 4.4090
4.4090 0.0000 4.4090
4.4090 4.4090 0.0000
Rb Na Y F
2 1 1 6
direct
0.2500 0.2500 0.2500
0.7500 0.7500 0.7500
0.0000 0.0000 0.0000
0.5000 0.5000 0.5000
0.2560 0.2560 0.7440
0.2560 0.7440 0.2560
0.2560 0.7440 0.7440
0.7440 0.2560 0.2560
0.7440 0.2560 0.7440
0.7440 0.7440 0.2560
```

The uncorrected energy comes out at -130.332 eV/f.u. As for the crystal system: cubic.

***

[25]
Here is a PBEsol-optimized structure of SrLi2Hg from Alexandria via LeMat-Bulk. Energies are from SCAN.

Geometry as POSCAR:
```
SrLi2Hg
1.0
2.3278 1.3439 5.3965
-2.3278 1.3439 5.3965
0.0000 -2.6879 5.3965
Sr Li Hg
1 2 1
direct
0.0000 0.0000 0.0000
0.2040 0.2040 0.2040
0.7960 0.7960 0.7960
0.5000 0.5000 0.5000
```

As for the crystal system: trigonal. As for the energy of formation from the pure elements: -349 meV per atom.

***

[26]
Here is a PBEsol-optimized structure of CoTc2SnPb from Alexandria via LeMat-Bulk. Energies are from SCAN.

Geometry as POSCAR:
```
CoTc2SnPb
1.0
4.5146 0.0000 0.0000
0.0000 4.5146 0.0000
0.0000 0.0000 4.6993
Co Tc Sn Pb
1 2 1 1
direct
0.0000 0.0000 0.0000
0.0000 0.5000 0.0000
0.5000 0.0000 0.0000
0.5000 0.5000 0.5000
0.0000 0.0000 0.5000
```

As for the crystal system: tetragonal. As for the energy of formation from the pure elements: 1217 meV per atom.

***

[27]
Here is a PBEsol-optimized structure of Y2MnCuBr from Alexandria via LeMat-Bulk. Energies are from SCAN.

Geometry as POSCAR:
```
Y2MnCuBr
1.0
5.2443 0.0000 0.0000
0.0000 5.2443 0.0000
0.0000 0.0000 4.3523
Y Mn Cu Br
2 1 1 1
direct
0.0000 0.5000 0.0000
0.5000 0.0000 0.0000
0.0000 0.0000 0.5000
0.5000 0.5000 0.5000
0.0000 0.0000 0.0000
```

The uncorrected energy comes out at -107.323 eV/f.u. As for the crystal system: tetragonal.

***

[28]
Here is a PBEsol-optimized structure of TaZn2In from Alexandria via LeMat-Bulk. Energies are from SCAN.

Geometry as POSCAR:
```
TaZn2In
1.0
2.8475 0.0000 0.0000
0.0000 2.8475 0.0000
0.0000 0.0000 8.6184
Ta Zn In
1 2 1
direct
0.0000 0.0000 0.0000
0.5000 0.5000 0.2265
0.5000 0.5000 0.7735
0.0000 0.0000 0.5000
```

As for the crystal system: tetragonal. As for the energy of formation from the pure elements: 121 meV per atom.

***

[29]
Here is a PBEsol-optimized structure of NaLiCdBr2 from Alexandria via LeMat-Bulk. Energies are from SCAN.

Geometry as POSCAR:
```
NaLiCdBr2
1.0
5.5002 0.0000 0.0000
0.0000 5.5002 0.0000
0.0000 0.0000 5.4952
Na Li Cd Br
1 1 1 2
direct
0.0000 0.0000 0.0000
0.5000 0.5000 0.5000
0.0000 0.0000 0.5000
0.0000 0.5000 0.0000
0.5000 0.0000 0.0000
```

The uncorrected energy comes out at -79.589 eV/f.u. As for the crystal system: tetragonal.